[1]
# Y2BeRh GGA-PBEsol optimized geometry
# space group = P4/mmm, No. 123
# crystal system = tetragonal
data_Y2BeRh
_chemical_formula_sum 'Y2 Be1 Rh1'
_cell_length_a 3.414
_cell_length_b 3.414
_cell_length_c 6.659
_cell_angle_alpha 90.00
_cell_angle_beta 90.00
_cell_angle_gamma 90.00
_symmetry_space_group_name_H-M 'P 1'
_symmetry_Int_Tables_number 1
loop_
_symmetry_equiv_pos_as_xyz
'x,y,z'
loop_
_atom_site_label
_atom_site_fract_x
_atom_site_fract_y
_atom_site_fract_z
_atom_site_occupancy
Be1 0.500 0.500 0.000 1
Y1 0.000 0.000 0.252 1
Rh1 0.500 0.500 0.500 1
Y2 0.000 0.000 0.748 1

[2]
# YBeRh GGA-PBEsol optimized geometry
# energy relative to the lowest polymorph listed for this composition = 1.134 eV per atom
# space group = F-43m, No. 216
# crystal system = cubic
data_YBeRh
_chemical_formula_sum 'Y1 Be1 Rh1'
_cell_length_a 4.410
_cell_length_b 4.410
_cell_length_c 4.410
_cell_angle_alpha 60.00
_cell_angle_beta 60.00
_cell_angle_gamma 60.00
_symmetry_space_group_name_H-M 'P 1'
_symmetry_Int_Tables_number 1
loop_
_symmetry_equiv_pos_as_xyz
'x,y,z'
loop_
_atom_site_label
_atom_site_fract_x
_atom_site_fract_y
_atom_site_fract_z
_atom_site_occupancy
Y1 0.750 0.750 0.750 1
Rh1 0.500 0.500 0.500 1
Be1 0.000 0.000 0.000 1

[3]
# YBeRh2 GGA-PBEsol optimized geometry
# space group = I-4m2, No. 119
# crystal system = tetragonal
data_YBeRh2
_chemical_formula_sum 'Y1 Be1 Rh2'
_cell_length_a 3.751
_cell_length_b 3.751
_cell_length_c 5.045
_cell_angle_alpha 111.83
_cell_angle_beta 111.83
_cell_angle_gamma 90.00
_symmetry_space_group_name_H-M 'P 1'
_symmetry_Int_Tables_number 1
loop_
_symmetry_equiv_pos_as_xyz
'x,y,z'
loop_
_atom_site_label
_atom_site_fract_x
_atom_site_fract_y
_atom_site_fract_z
_atom_site_occupancy
Be1 0.250 0.750 0.500 1
Rh1 0.750 0.250 0.500 1
Y1 0.500 0.500 0.000 1
Rh2 0.000 0.000 0.000 1

[4]
# Y2BeRh GGA-PBEsol optimized geometry
# space group = Pmm2, No. 25
# crystal system = orthorhombic
data_Y2BeRh
_chemical_formula_sum 'Y2 Be1 Rh1'
_cell_length_a 3.304
_cell_length_b 4.513
_cell_length_c 5.569
_cell_angle_alpha 90.00
_cell_angle_beta 90.00
_cell_angle_gamma 90.00
_symmetry_space_group_name_H-M 'P 1'
_symmetry_Int_Tables_number 1
loop_
_symmetry_equiv_pos_as_xyz
'x,y,z'
loop_
_atom_site_label
_atom_site_fract_x
_atom_site_fract_y
_atom_site_fract_z
_atom_site_occupancy
Be1 0.000 0.000 0.422 1
Y1 0.500 0.500 0.329 1
Rh1 0.500 0.500 0.832 1
Y2 0.000 0.000 0.917 1

[5]
# YBeRh GGA-PBEsol optimized geometry
# energy relative to the lowest polymorph listed for this composition = 0.000 eV per atom
# space group = P-6m2, No. 187
# crystal system = hexagonal
data_YBeRh
_chemical_formula_sum 'Y1 Be1 Rh1'
_cell_length_a 3.867
_cell_length_b 3.867
_cell_length_c 3.944
_cell_angle_alpha 90.00
_cell_angle_beta 90.00
_cell_angle_gamma 120.00
_symmetry_space_group_name_H-M 'P 1'
_symmetry_Int_Tables_number 1
loop_
_symmetry_equiv_pos_as_xyz
'x,y,z'
loop_
_atom_site_label
_atom_site_fract_x
_atom_site_fract_y
_atom_site_fract_z
_atom_site_occupancy
Be1 0.000 0.000 0.000 1
Rh1 0.333 0.667 0.000 1
Y1 0.667 0.333 0.500 1

[6]
# Y2BeRh GGA-PBEsol optimized geometry
# space group = Amm2, No. 38
# crystal system = orthorhombic
data_Y2BeRh
_chemical_formula_sum 'Y2 Be1 Rh1'
_cell_length_a 3.928
_cell_length_b 3.940
_cell_length_c 5.648
_cell_angle_alpha 90.00
_cell_angle_beta 110.35
_cell_angle_gamma 90.00
_symmetry_space_group_name_H-M 'P 1'
_symmetry_Int_Tables_number 1
loop_
_symmetry_equiv_pos_as_xyz
'x,y,z'
loop_
_atom_site_label
_atom_site_fract_x
_atom_site_fract_y
_atom_site_fract_z
_atom_site_occupancy
Y1 0.391 0.500 0.782 1
Y2 0.110 0.000 0.221 1
Rh1 0.693 0.500 0.386 1
Be1 0.808 0.000 0.615 1

[7]
# YBe2Rh GGA-PBEsol optimized geometry
# energy relative to the lowest polymorph listed for this composition = 0.000 eV per atom
# space group = R-3m, No. 166
# crystal system = trigonal
data_YBe2Rh
_chemical_formula_sum 'Y1 Be2 Rh1'
_cell_length_a 3.833
_cell_length_b 3.833
_cell_length_c 5.266
_cell_angle_alpha 68.66
_cell_angle_beta 68.66
_cell_angle_gamma 60.00
_symmetry_space_group_name_H-M 'P 1'
_symmetry_Int_Tables_number 1
loop_
_symmetry_equiv_pos_as_xyz
'x,y,z'
loop_
_atom_site_label
_atom_site_fract_x
_atom_site_fract_y
_atom_site_fract_z
_atom_site_occupancy
Rh1 0.500 0.500 0.500 1
Be1 0.196 0.196 0.411 1
Y1 0.000 0.000 0.000 1
Be2 0.804 0.804 0.589 1

[8]
# Be4ZnRh GGA-PBEsol optimized geometry
# space group = F-43m, No. 216
# crystal system = cubic
data_Be4ZnRh
_chemical_formula_sum 'Be4 Zn1 Rh1'
_cell_length_a 4.293
_cell_length_b 4.293
_cell_length_c 4.293
_cell_angle_alpha 60.00
_cell_angle_beta 60.00
_cell_angle_gamma 60.00
_symmetry_space_group_name_H-M 'P 1'
_symmetry_Int_Tables_number 1
loop_
_symmetry_equiv_pos_as_xyz
'x,y,z'
loop_
_atom_site_label
_atom_site_fract_x
_atom_site_fract_y
_atom_site_fract_z
_atom_site_occupancy
Rh1 0.750 0.750 0.750 1
Be1 0.375 0.375 0.874 1
Zn1 0.000 0.000 0.000 1
Be2 0.375 0.375 0.375 1
Be3 0.375 0.874 0.375 1
Be4 0.874 0.375 0.375 1

[9]
# Be2ZnRh2 GGA-PBEsol optimized geometry
# space group = P4/mbm, No. 127
# crystal system = tetragonal
data_Be2ZnRh2
_chemical_formula_sum 'Be4 Zn2 Rh4'
_cell_length_a 2.893
_cell_length_b 6.150
_cell_length_c 6.150
_cell_angle_alpha 90.00
_cell_angle_beta 90.00
_cell_angle_gamma 90.00
_symmetry_space_group_name_H-M 'P 1'
_symmetry_Int_Tables_number 1
loop_
_symmetry_equiv_pos_as_xyz
'x,y,z'
loop_
_atom_site_label
_atom_site_fract_x
_atom_site_fract_y
_atom_site_fract_z
_atom_site_occupancy
Rh1 0.500 0.167 0.667 1
Be1 0.000 0.374 0.874 1
Rh2 0.500 0.667 0.833 1
Be2 0.000 0.874 0.626 1
Zn1 0.000 0.500 0.500 1
Rh3 0.500 0.833 0.333 1
Be3 0.000 0.126 0.374 1
Rh4 0.500 0.333 0.167 1
Be4 0.000 0.626 0.126 1
Zn2 0.000 0.000 0.000 1

[10]
# Zr2Be2Rh GGA-PBEsol optimized geometry
# space group = P4/mbm, No. 127
# crystal system = tetragonal
data_Zr2Be2Rh
_chemical_formula_sum 'Zr4 Be4 Rh2'
_cell_length_a 3.605
_cell_length_b 6.352
_cell_length_c 6.352
_cell_angle_alpha 90.00
_cell_angle_beta 90.00
_cell_angle_gamma 90.00
_symmetry_space_group_name_H-M 'P 1'
_symmetry_Int_Tables_number 1
loop_
_symmetry_equiv_pos_as_xyz
'x,y,z'
loop_
_atom_site_label
_atom_site_fract_x
_atom_site_fract_y
_atom_site_fract_z
_atom_site_occupancy
Zr1 0.500 0.823 0.323 1
Zr2 0.500 0.323 0.177 1
Be1 0.000 0.880 0.620 1
Be2 0.000 0.120 0.380 1
Zr3 0.500 0.177 0.677 1
Be3 0.000 0.380 0.880 1
Zr4 0.500 0.677 0.823 1
Be4 0.000 0.620 0.120 1
Rh1 0.000 0.000 0.000 1
Rh2 0.000 0.500 0.500 1

[11]
# ZrBeRh2 GGA-PBEsol optimized geometry
# space group = P4/mmm, No. 123
# crystal system = tetragonal
data_ZrBeRh2
_chemical_formula_sum 'Zr1 Be1 Rh2'
_cell_length_a 3.101
_cell_length_b 3.101
_cell_length_c 5.835
_cell_angle_alpha 90.00
_cell_angle_beta 90.00
_cell_angle_gamma 90.00
_symmetry_space_group_name_H-M 'P 1'
_symmetry_Int_Tables_number 1
loop_
_symmetry_equiv_pos_as_xyz
'x,y,z'
loop_
_atom_site_label
_atom_site_fract_x
_atom_site_fract_y
_atom_site_fract_z
_atom_site_occupancy
Rh1 0.000 0.000 0.224 1
Rh2 0.000 0.000 0.776 1
Be1 0.500 0.500 0.000 1
Zr1 0.500 0.500 0.500 1

[12]
# ZrBeRh2 GGA-PBEsol optimized geometry
# space group = Imm2, No. 44
# crystal system = orthorhombic
data_ZrBeRh2
_chemical_formula_sum 'Zr1 Be1 Rh2'
_cell_length_a 3.561
_cell_length_b 3.740
_cell_length_c 4.939
_cell_angle_alpha 112.25
_cell_angle_beta 111.14
_cell_angle_gamma 90.00
_symmetry_space_group_name_H-M 'P 1'
_symmetry_Int_Tables_number 1
loop_
_symmetry_equiv_pos_as_xyz
'x,y,z'
loop_
_atom_site_label
_atom_site_fract_x
_atom_site_fract_y
_atom_site_fract_z
_atom_site_occupancy
Zr1 0.501 0.501 0.002 1
Rh1 0.749 0.249 0.498 1
Be1 0.255 0.755 0.509 1
Rh2 0.995 0.995 0.991 1

[13]
# Zr2BeRh GGA-PBEsol optimized geometry
# space group = R-3m, No. 166
# crystal system = trigonal
data_Zr2BeRh
_chemical_formula_sum 'Zr2 Be1 Rh1'
_cell_length_a 3.187
_cell_length_b 3.187
_cell_length_c 7.936
_cell_angle_alpha 78.42
_cell_angle_beta 78.42
_cell_angle_gamma 60.00
_symmetry_space_group_name_H-M 'P 1'
_symmetry_Int_Tables_number 1
loop_
_symmetry_equiv_pos_as_xyz
'x,y,z'
loop_
_atom_site_label
_atom_site_fract_x
_atom_site_fract_y
_atom_site_fract_z
_atom_site_occupancy
Be1 0.500 0.500 0.500 1
Zr1 0.754 0.754 0.737 1
Rh1 0.000 0.000 0.000 1
Zr2 0.246 0.246 0.263 1

[14]
# ZrBe2Rh GGA-PBEsol optimized geometry
# energy relative to the lowest polymorph listed for this composition = 0.089 eV per atom
# space group = R3m, No. 160
# crystal system = trigonal
data_ZrBe2Rh
_chemical_formula_sum 'Zr1 Be2 Rh1'
_cell_length_a 3.717
_cell_length_b 3.717
_cell_length_c 4.984
_cell_angle_alpha 68.10
_cell_angle_beta 68.10
_cell_angle_gamma 60.00
_symmetry_space_group_name_H-M 'P 1'
_symmetry_Int_Tables_number 1
loop_
_symmetry_equiv_pos_as_xyz
'x,y,z'
loop_
_atom_site_label
_atom_site_fract_x
_atom_site_fract_y
_atom_site_fract_z
_atom_site_occupancy
Rh1 0.534 0.534 0.399 1
Zr1 0.744 0.744 0.768 1
Be1 0.265 0.265 0.204 1
Be2 0.946 0.946 0.161 1

[15]
# ZrBe4Rh GGA-PBEsol optimized geometry
# space group = F-43m, No. 216
# crystal system = cubic
data_ZrBe4Rh
_chemical_formula_sum 'Zr1 Be4 Rh1'
_cell_length_a 4.517
_cell_length_b 4.517
_cell_length_c 4.517
_cell_angle_alpha 60.00
_cell_angle_beta 60.00
_cell_angle_gamma 60.00
_symmetry_space_group_name_H-M 'P 1'
_symmetry_Int_Tables_number 1
loop_
_symmetry_equiv_pos_as_xyz
'x,y,z'
loop_
_atom_site_label
_atom_site_fract_x
_atom_site_fract_y
_atom_site_fract_z
_atom_site_occupancy
Be1 0.375 0.375 0.375 1
Be2 0.375 0.874 0.375 1
Be3 0.874 0.375 0.375 1
Be4 0.375 0.375 0.874 1
Zr1 0.000 0.000 0.000 1
Rh1 0.750 0.750 0.750 1

Number 1: N(E_F) 0.61 states/eV/atom, formation enthalpy at 0 K -0.3582 eV per atom. Number 2: N(E_F) 0.32 states/eV/atom, formation enthalpy at 0 K 0.5801 eV per atom. Number 3: N(E_F) 1.24 states/eV/atom, formation enthalpy at 0 K -0.3156 eV per atom. Number 4: N(E_F) 0.66 states/eV/atom, formation enthalpy at 0 K -0.0265 eV per atom. Number 5: N(E_F) 0.51 states/eV/atom, formation enthalpy at 0 K -0.5539 eV per atom. Number 6: N(E_F) 0.63 states/eV/atom, formation enthalpy at 0 K -0.4487 eV per atom. Number 7: N(E_F) 0.66 states/eV/atom, formation enthalpy at 0 K -0.4386 eV per atom. Number 8: N(E_F) 0.25 states/eV/atom, formation enthalpy at 0 K -0.3624 eV per atom. Number 9: N(E_F) 0.23 states/eV/atom, formation enthalpy at 0 K -0.5660 eV per atom. Number 10: N(E_F) 0.89 states/eV/atom, formation enthalpy at 0 K -0.4236 eV per atom. Number 11: N(E_F) 0.37 states/eV/atom, formation enthalpy at 0 K -0.6531 eV per atom. Number 12: N(E_F) 0.58 states/eV/atom, formation enthalpy at 0 K -0.5782 eV per atom. Number 13: N(E_F) 0.78 states/eV/atom, formation enthalpy at 0 K -0.1123 eV per atom. Number 14: N(E_F) 0.72 states/eV/atom, formation enthalpy at 0 K -0.3236 eV per atom. Number 15: N(E_F) 0.52 states/eV/atom, formation enthalpy at 0 K -0.4090 eV per atom.